(1)
Compound: GdDy2Ga3PtAu2
Source: the Open Quantum Materials Database
Functional: GGA-PBE
Structure: optimized geometry

Lattice parameters (Å, degrees): 3.873 7.466 7.466 120.12 90.00 90.00
Positions (direct):
Dy  0.000  0.000  0.600
Dy  0.000  0.600  0.000
Pt  0.000  0.998  0.998
Au  0.500  0.669  0.333
Au  0.500  0.333  0.669
Ga  0.500  0.999  0.249
Ga  0.500  0.751  0.751
Ga  0.500  0.249  0.999
Gd  0.000  0.401  0.401

## Properties
SG = Amm2
spin magnetization = 0.004 Bohr magnetons per cell
final energy = -43.563 eV/cell

(2)
Compound: Nd2Tl2PdPt3
Source: the Open Quantum Materials Database
Functional: GGA-PBE
Structure: optimized geometry

Lattice parameters (Å, degrees): 4.714 4.714 9.209 90.00 90.00 120.00
Positions (direct):
Nd  0.000  0.000  0.252
Nd  0.333  0.667  0.746
Pt  0.333  0.667  0.090
Pt  0.000  0.000  0.598
Pt  0.333  0.667  0.403
Tl  0.667  0.333  0.501
Tl  0.667  0.333  0.000
Pd  0.000  0.000  0.911

## Properties
SG = P3m1
spin magnetization = 0.002 Bohr magnetons per cell
final energy = -43.218 eV/cell